Here is a relaxed structure of FeNi2AgH from Alexandria. Energies are from PBE.

```
data_FeNi2AgH
_cell_length_a 3.7743
_cell_length_b 3.7743
_cell_length_c 3.7604
_cell_angle_alpha 90.00
_cell_angle_beta 90.00
_cell_angle_gamma 90.00
_symmetry_space_group_name_H-M 'P 4/m m m'
_symmetry_Int_Tables_number 123
_symmetry_space_group_name_Hall '-P 4 2'
loop_
_atom_site_label
_atom_site_fract_x
_atom_site_fract_y
_atom_site_fract_z
_atom_site_occupancy
Fe1 0.0000 0.0000 0.0000 1
Ni1 0.0000 0.5000 0.5000 1
Ag1 0.5000 0.5000 0.0000 1
H1 0.0000 0.0000 0.5000 1
```

Here is a relaxed structure of FeAgPH2 from Alexandria. Energies are from PBE.

```
data_FeAgPH2
_cell_length_a 3.6315
_cell_length_b 3.6315
_cell_length_c 4.5508
_cell_angle_alpha 90.00
_cell_angle_beta 90.00
_cell_angle_gamma 90.00
_symmetry_space_group_name_H-M 'P 4/m m m'
_symmetry_Int_Tables_number 123
_symmetry_space_group_name_Hall '-P 4 2'
loop_
_atom_site_label
_atom_site_fract_x
_atom_site_fract_y
_atom_site_fract_z
_atom_site_occupancy
Fe1 0.0000 0.0000 0.0000 1
Ag1 0.5000 0.5000 0.0000 1
P1 0.0000 0.0000 0.5000 1
H1 0.0000 0.5000 0.5000 1
```

Here is a relaxed structure of Fe2AgHPt from Alexandria. Energies are from PBE.

Properties
**Energy relative to the lowest polymorph listed for this composition**: 0.0000 eV per atom

```
data_Fe2AgHPt
_cell_length_a 3.9419
_cell_length_b 3.9419
_cell_length_c 3.8720
_cell_angle_alpha 90.00
_cell_angle_beta 90.00
_cell_angle_gamma 90.00
_symmetry_space_group_name_H-M 'P 4/m m m'
_symmetry_Int_Tables_number 123
_symmetry_space_group_name_Hall '-P 4 2'
loop_
_atom_site_label
_atom_site_fract_x
_atom_site_fract_y
_atom_site_fract_z
_atom_site_occupancy
Fe1 0.0000 0.5000 0.0000 1
Ag1 0.0000 0.0000 0.5000 1
H1 0.5000 0.5000 0.0000 1
Pt1 0.5000 0.5000 0.5000 1
```

Here is a relaxed structure of FeAgHPt2 from Alexandria. Energies are from PBE.

```
data_FeAgHPt2
_cell_length_a 3.9987
_cell_length_b 3.9987
_cell_length_c 4.0276
_cell_angle_alpha 90.00
_cell_angle_beta 90.00
_cell_angle_gamma 90.00
_symmetry_space_group_name_H-M 'P 4/m m m'
_symmetry_Int_Tables_number 123
_symmetry_space_group_name_Hall '-P 4 2'
loop_
_atom_site_label
_atom_site_fract_x
_atom_site_fract_y
_atom_site_fract_z
_atom_site_occupancy
Fe1 0.0000 0.0000 0.0000 1
Ag1 0.5000 0.5000 0.0000 1
H1 0.0000 0.0000 0.5000 1
Pt1 0.0000 0.5000 0.5000 1
```

Per-record electronic total energy, eV per atom: -5.07, -4.05, -5.72, -5.28